# Tm3NpRu3 | the Alexandria database | GGA-PBE | optimized geometry
data_Tm3NpRu3
_cell_length_a 9.2579
_cell_length_b 9.2579
_cell_length_c 6.0373
_cell_angle_alpha 90.00
_cell_angle_beta 90.00
_cell_angle_gamma 120.00
_symmetry_space_group_name_H-M 'R -3 m'
_symmetry_Int_Tables_number 166
_symmetry_space_group_name_Hall '-R 3 2"'
loop_
_atom_site_label
_atom_site_fract_x
_atom_site_fract_y
_atom_site_fract_z
Tm1 0.0000 0.5000 0.0000
Np1 0.0000 0.0000 0.0000
Ru1 0.0000 0.5000 0.5000
# **Magnetic moment**: 0.4473 μB per atom
# **Formation enthalpy at 0 K**: -0.265 eV per atom